(1)
Na3MnO3 | SCAN | single point on PBEsol structure

SG: No. 14
energy above the most stable polymorph in this dataset: 0.010 eV/atom
total magnetic moment: 0.57 μB per atom
E_tot: -8.852 eV/atom
formation energy from raw total energies: -1767 meV/atom

abc: 5.736 5.872 12.330
angles: 90.00 90.00 114.99
Last column: magnetic moment on the atom in μB.
Atoms (fractional coordinates):
Na (0.211, 0.640, 0.277)  0.00
Na (0.722, 0.254, 0.985)  0.00
Na (0.660, 0.712, 0.400)  0.00
Na (0.278, 0.746, 0.015)  0.00
Na (0.711, 0.140, 0.223)  0.00
Na (0.222, 0.754, 0.515)  0.00
Na (0.789, 0.360, 0.723)  0.00
Na (0.289, 0.860, 0.777)  0.00
Na (0.340, 0.288, 0.600)  0.00
Na (0.840, 0.788, 0.900)  0.00
Na (0.778, 0.246, 0.485)  0.00
Na (0.160, 0.212, 0.100)  0.00
O (0.804, 0.618, 0.568)  0.07
O (0.543, 0.008, 0.630)  0.07
O (0.196, 0.382, 0.432)  0.07
O (0.009, 0.071, 0.737)  0.04
O (0.509, 0.571, 0.763)  0.04
O (0.043, 0.508, 0.870)  0.07
O (0.457, 0.992, 0.370)  0.07
O (0.491, 0.429, 0.237)  0.04
O (0.304, 0.118, 0.932)  0.07
O (0.696, 0.882, 0.068)  0.07
O (0.957, 0.492, 0.130)  0.07
O (0.991, 0.929, 0.263)  0.04
Mn (0.229, 0.326, 0.839)  3.60
Mn (0.771, 0.674, 0.161)  3.60
Mn (0.271, 0.174, 0.339)  3.60
Mn (0.729, 0.826, 0.661)  3.60

---

(2)
LiMg3 | SCAN | single point on PBEsol structure

calculated formation energy: -1 kJ per mole of atoms
SG: No. 139
total magnetic moment: 0.03 μB per atom
density of states at the Fermi level: 1.7 states/eV/cell
E_tot: -4.343 eV/atom

abc: 4.402 4.402 5.387
angles: 114.11 114.11 90.00
Atoms (fractional coordinates):
Li (0.000, 0.000, 0.000)
Mg (0.750, 0.250, 0.500)
Mg (0.500, 0.500, 0.000)
Mg (0.250, 0.750, 0.500)

---

(3)
Ca2AlMo | SCAN | single point on PBEsol structure

calculated formation energy: 46 kJ per mole of atoms
SG: No. 65
total magnetic moment: 0.00 μB per atom
density of states at the Fermi level: 2.7 states/eV/cell
E_tot: -15.018 eV/atom

abc: 2.926 2.926 9.923
angles: 90.00 90.00 90.87
Atoms (fractional coordinates):
Al (0.500, 0.500, 0.000)
Mo (0.500, 0.500, 0.500)
Ca (0.000, 0.000, 0.748)
Ca (0.000, 0.000, 0.252)

---

(4)
CaTaI2N | SCAN | single point on PBEsol structure

SG: No. 123
total magnetic moment: 0.21 μB per atom
density of states at the Fermi level: 1.9 states/eV/cell
E_tot: -32.159 eV/atom
formation energy from raw total energies: -354 meV/atom

abc: 3.935 5.675 5.675
angles: 90.00 90.00 90.00
Last column: magnetic moment on the atom in μB.
Atoms (fractional coordinates):
Ta (0.000, 0.000, 0.000)  0.64
N (0.500, 0.000, 0.000)  -0.07
I (0.000, 0.500, 0.000)  0.00
I (0.000, 0.000, 0.500)  0.00
Ca (0.500, 0.500, 0.500)  0.04

---

(5)
TlFeTc2 | SCAN | single point on PBEsol structure

calculated formation energy: 55 kJ per mole of atoms
SG: No. 225
energy above the most stable polymorph in this dataset: 0.189 eV/atom
total magnetic moment: 0.54 μB per atom
density of states at the Fermi level: 3.0 states/eV/cell
E_tot: -39.579 eV/atom

abc: 4.394 4.394 4.394
angles: 60.00 60.00 60.00
Last column: magnetic moment on the atom in μB.
Atoms (fractional coordinates):
Fe (0.000, 0.000, 0.000)  2.89
Tl (0.500, 0.500, 0.500)  0.01
Tc (0.750, 0.750, 0.750)  -0.36
Tc (0.250, 0.250, 0.250)  -0.36

---

(6)
ReAgAs2 | SCAN | single point on PBEsol structure

calculated formation energy: 17 kJ per mole of atoms
SG: No. 123
total magnetic moment: 0.00 μB per atom
density of states at the Fermi level: 0.9 states/eV/cell
E_tot: -35.538 eV/atom

abc: 3.074 3.074 6.958
angles: 90.00 90.00 90.00
Atoms (fractional coordinates):
As (0.000, 0.000, 0.214)
As (0.000, 0.000, 0.786)
Ag (0.500, 0.500, 0.500)
Re (0.500, 0.500, 0.000)

---

(7)
BPS2O | SCAN | single point on PBEsol structure

SG: No. 123
total magnetic moment: 0.00 μB per atom
density of states at the Fermi level: 3.7 states/eV/cell
E_tot: -7.041 eV/atom
formation energy from raw total energies: 1622 meV/atom

abc: 3.799 4.329 4.329
angles: 90.00 90.00 90.00
Atoms (fractional coordinates):
B (0.500, 0.500, 0.500)
S (0.000, 0.500, 0.000)
S (0.000, 0.000, 0.500)
O (0.000, 0.000, 0.000)
P (0.500, 0.000, 0.000)

---

(8)
Li3CdGe | SCAN | single point on PBEsol structure

calculated formation energy: 4 kJ per mole of atoms
SG: No. 221
energy above the most stable polymorph in this dataset: 0.000 eV/atom
total magnetic moment: 0.00 μB per atom
density of states at the Fermi level: 2.1 states/eV/cell
E_tot: -11.293 eV/atom

abc: 4.754 4.754 4.754
angles: 90.00 90.00 90.00
Atoms (fractional coordinates):
Li (0.500, 0.000, 0.000)
Li (0.000, 0.500, 0.000)
Li (0.000, 0.000, 0.500)
Cd (0.500, 0.500, 0.500)
Ge (0.000, 0.000, 0.000)

---

(9)
Co4SiSb | SCAN | single point on PBEsol structure

SG: No. 216
total magnetic moment: 1.01 μB per atom
density of states at the Fermi level: 6.7 states/eV/cell
E_tot: -19.089 eV/atom
formation energy from raw total energies: 326 meV/atom

abc: 4.716 4.716 4.716
angles: 60.00 60.00 60.00
Last column: magnetic moment on the atom in μB.
Atoms (fractional coordinates):
Co (0.374, 0.374, 0.374)  1.54
Co (0.374, 0.374, 0.877)  1.54
Co (0.374, 0.877, 0.374)  1.54
Co (0.877, 0.374, 0.374)  1.54
Si (0.000, 0.000, 0.000)  -0.01
Sb (0.750, 0.750, 0.750)  0.01

---

(10)
Li2Ti2AsPO10 | SCAN | single point on PBEsol structure

SG: No. 26
total magnetic moment: 0.00 μB per atom
density of states at the Fermi level: 0.0 states/eV/cell
E_tot: -10.716 eV/atom
formation energy from raw total energies: -2607 meV/atom

abc: 6.497 7.366 7.422
angles: 90.00 90.00 90.00
Atoms (fractional coordinates):
O (0.693, 0.498, 0.126)
O (0.307, 0.498, 0.126)
O (0.500, 0.901, 0.115)
O (0.000, 0.232, 0.071)
O (0.793, 0.977, 0.872)
O (0.500, 0.254, 0.297)
O (0.500, 0.257, 0.954)
O (0.693, 0.502, 0.626)
O (0.307, 0.502, 0.626)
O (0.207, 0.977, 0.872)
O (0.000, 0.748, 0.185)
O (0.500, 0.746, 0.797)
O (0.500, 0.099, 0.615)
O (0.793, 0.023, 0.372)
O (0.000, 0.575, 0.891)
O (0.000, 0.768, 0.571)
O (0.000, 0.252, 0.685)
O (0.207, 0.023, 0.372)
O (0.000, 0.425, 0.391)
O (0.500, 0.743, 0.454)
Ti (0.500, 0.027, 0.836)
Ti (0.000, 0.528, 0.661)
Ti (0.500, 0.973, 0.336)
Ti (0.000, 0.472, 0.161)
P (0.500, 0.625, 0.626)
P (0.500, 0.375, 0.126)
Li (0.262, 0.261, 0.498)
Li (0.738, 0.739, 0.998)
Li (0.738, 0.261, 0.498)
Li (0.262, 0.739, 0.998)
As (0.000, 0.884, 0.373)
As (0.000, 0.116, 0.873)